Entry from Alexandria: crystalline RbBaNb3 at its relaxed geometry (PBE-GGA).

The structure in POSCAR format:
```
RbBaNb3
1.0
-4.0690 1.9486 -2.7979
-3.3169 -1.2532 3.9509
0.7897 4.7764 2.1781
Nb Ba Rb
3 1 1
Direct
0.0000 0.5000 0.0000
0.5000 0.0000 0.0000
0.0000 0.0000 0.5000
0.0000 0.0000 0.0000
0.5000 0.5000 0.5000
```

Values from the calculation:
- formation enthalpy at 0 K (eV per atom) = 2.57
- offset from the most stable computed form (eV per atom) = 0.000
- space group = Pm-3m
- total magnetization (Bohr magnetons per cell) = 1.115